## Ho12Ni6Bi (PBE)

Data for a geometry-optimized Ho12Ni6Bi structure.

extended XYZ file:
```
19
Lattice="-4.8443 4.8443 4.8443 4.8443 -4.8443 4.8443 4.8443 4.8443 -4.8443" Properties=species:S:1:pos:R:3 pbc="T T T"
Ho 4.8443 3.0175 -1.8711
Ho 2.9732 0.0000 1.8268
Ho 6.7154 0.0000 1.8268
Ho 1.8268 2.9732 0.0000
Ho 3.0175 -1.8711 4.8443
Ho 0.0000 1.8268 2.9732
Ho 4.8443 3.0175 1.8711
Ho 1.8268 6.7154 0.0000
Ho 3.0175 1.8711 4.8443
Ho -1.8711 4.8443 3.0175
Ho 1.8711 4.8443 3.0175
Ho 0.0000 1.8268 6.7154
Ni 4.8443 1.1964 0.0000
Ni 4.8443 0.0000 3.6479
Ni 3.6479 4.8443 0.0000
Ni 1.1964 0.0000 4.8443
Ni 0.0000 4.8443 1.1964
Ni 0.0000 3.6479 4.8443
Bi 0.0000 0.0000 0.0000
```

crystal system = cubic
total energy = -0.38792 Ry per atom
space-group type = Im-3, No. 204